Density functional theory data (PBE-GGA) for crystalline CsB2H6 at its relaxed geometry.

Properties
The crystal system is monoclinic. Its magnetization is 2.0 μB per cell.

a b c (Å): 6.8028 6.8028 6.1144
angles (deg): 105.00 105.00 76.89
Fractional coordinates of all 18 atoms:
Cs: 0.2353 0.7647 0.7500
Cs: 0.7647 0.2353 0.2500
B: 0.0768 0.3815 0.8970
B: 0.3815 0.0768 0.3970
B: 0.6185 0.9232 0.6030
B: 0.9232 0.6185 0.1030
H: 0.0060 0.5612 0.2826
H: 0.0280 0.2275 0.9183
H: 0.2275 0.0280 0.4183
H: 0.2559 0.4017 0.9782
H: 0.4017 0.2559 0.4782
H: 0.4388 0.9940 0.2174
H: 0.5612 0.0060 0.7826
H: 0.5983 0.7441 0.5218
H: 0.7441 0.5983 0.0218
H: 0.7725 0.9720 0.5817
H: 0.9720 0.7725 0.0817
H: 0.9940 0.4388 0.7174

---

Density functional theory data (PBE-GGA) for crystalline Cs3BH at its relaxed geometry.

Properties
The crystal system is cubic. Its magnetization is 3.0 μB per cell.

a b c (Å): 5.8845 5.8845 5.8845
angles (deg): 90.00 90.00 90.00
Fractional coordinates of all 5 atoms:
Cs: 0.0000 0.0000 0.5000
Cs: 0.0000 0.5000 0.0000
Cs: 0.5000 0.0000 0.0000
B: 0.5000 0.5000 0.5000
H: 0.0000 0.0000 0.0000

---

Density functional theory data (PBE-GGA) for crystalline CsBH4 at its relaxed geometry.

Properties
The crystal system is monoclinic. Its magnetization is 0.0 μB per cell.

a b c (Å): 9.0520 5.3752 5.5265
angles (deg): 90.00 127.53 90.00
Fractional coordinates of all 12 atoms:
Cs: 0.0000 0.0000 0.0000
Cs: 0.5000 0.5000 0.0000
B: 0.0000 0.4975 0.5000
B: 0.5000 0.9975 0.5000
H: 0.0965 0.6306 0.7269
H: 0.0986 0.3643 0.4704
H: 0.4014 0.8643 0.5296
H: 0.4035 0.1306 0.2731
H: 0.5965 0.1306 0.7269
H: 0.5986 0.8643 0.4704
H: 0.9014 0.3643 0.5296
H: 0.9035 0.6306 0.2731

---

no.,E_tot (eV/atom)
1,-3.931
2,-1.783
3,-3.901